Model w:
# LuGaAsO

Crystalline LuGaAsO at its relaxed geometry (PBE, OQMD).

Cell and atoms, written as POSCAR:
```
LuGaAsO
1.0
3.977 0.000 0.000
0.000 6.818 0.000
0.000 0.000 5.869
Lu Ga As O
2 2 2 2
Cartesian
0.000 1.331 0.000
0.000 5.487 2.934
1.988 2.713 3.586
1.988 4.105 0.652
0.000 1.455 2.838
0.000 5.363 5.772
1.988 2.188 5.746
1.988 4.630 2.811
```

Output
magnetic moment: 0.009 μB per cell


Model x:
# LuGaAsO

Crystalline LuGaAsO at its relaxed geometry (PBE, OQMD).

Cell and atoms, written as POSCAR:
```
LuGaAsO
1.0
4.333 0.000 0.000
0.000 4.333 0.000
0.000 0.000 9.215
Lu Ga As O
2 2 2 2
Cartesian
1.083 3.250 0.000
3.250 1.083 0.000
1.083 1.083 4.199
3.250 3.250 5.016
1.083 1.083 1.684
3.250 3.250 7.532
1.083 3.250 4.608
3.250 1.083 4.608
```

Output
magnetic moment: 0.480 μB per cell


Least stable structure: model x


Model w:
# LuGaAsO

Crystalline LuGaAsO at its relaxed geometry (PBE, OQMD).

Cell and atoms, written as POSCAR:
```
LuGaAsO
1.0
4.349 0.000 0.000
0.000 5.672 0.000
0.000 0.000 6.417
Lu Ga As O
2 2 2 2
Cartesian
0.000 0.813 0.000
0.000 4.859 3.208
2.175 1.554 2.334
2.175 4.118 5.542
2.175 1.686 4.846
2.175 3.986 1.638
0.000 0.948 2.105
0.000 4.724 5.314
```

Output
magnetic moment: 0.001 μB per cell


Model x:
# LuGaAsO

Crystalline LuGaAsO at its relaxed geometry (PBE, OQMD).

Cell and atoms, written as POSCAR:
```
LuGaAsO
1.0
3.958 0.000 0.000
0.000 3.958 0.000
0.000 0.000 9.156
Lu Ga As O
2 2 2 2
Cartesian
0.989 0.989 0.994
2.968 2.968 8.162
0.989 2.968 4.578
2.968 0.989 4.578
0.989 0.989 6.386
2.968 2.968 2.771
0.989 2.968 0.000
2.968 0.989 0.000
```

Output
magnetic moment: 0.005 μB per cell


Least stable structure: model w


Model w:
# NbGaAs

Crystalline NbGaAs at its relaxed geometry (PBE, OQMD).

Cell and atoms, written as POSCAR:
```
NbGaAs
1.0
6.822 0.000 0.000
0.000 3.401 0.000
0.000 0.000 8.615
Nb Ga As
4 4 4
Cartesian
0.861 0.850 2.060
2.550 2.551 6.368
4.272 0.850 2.247
5.962 2.551 6.554
0.801 0.850 4.974
2.610 2.551 0.667
4.212 0.850 7.948
6.021 2.551 3.641
0.946 0.850 7.785
2.465 2.551 3.478
4.357 0.850 5.137
5.876 2.551 0.829
```

Output
magnetic moment: 0.006 μB per cell


Model x:
# NbGaAs

Crystalline NbGaAs at its relaxed geometry (PBE, OQMD).

Cell and atoms, written as POSCAR:
```
NbGaAs
1.0
0.000 3.130 3.130
3.130 0.000 3.130
3.130 3.130 0.000
Nb Ga As
1 1 1
Cartesian
0.000 0.000 0.000
1.565 1.565 1.565
4.695 4.695 4.695
```

Output
magnetic moment: 0.013 μB per cell


Least stable structure: model x


Model w:
# TbGaNi2As

Crystalline TbGaNi2As at its relaxed geometry (PBE, OQMD).

Cell and atoms, written as POSCAR:
```
TbGaNi2As
1.0
4.229 0.000 0.000
0.000 4.229 0.000
0.000 0.000 9.253
Tb Ga Ni As
2 2 4 2
Cartesian
1.057 1.057 2.303
3.172 3.172 6.950
1.057 1.057 8.101
3.172 3.172 1.152
1.057 1.057 5.706
1.057 3.172 0.000
3.172 1.057 0.000
3.172 3.172 3.547
1.057 3.172 4.627
3.172 1.057 4.627
```

Output
magnetic moment: 0.028 μB per cell


Model x:
# TbGaNi2As

Crystalline TbGaNi2As at its relaxed geometry (PBE, OQMD).

Cell and atoms, written as POSCAR:
```
TbGaNi2As
1.0
4.047 0.000 0.000
0.000 4.047 0.000
0.000 0.000 9.818
Tb Ga Ni As
2 2 4 2
Cartesian
1.012 1.012 2.407
3.035 3.035 7.410
1.012 3.035 4.909
3.035 1.012 4.909
1.012 1.012 6.226
1.012 3.035 0.000
3.035 1.012 0.000
3.035 3.035 3.592
1.012 1.012 8.509
3.035 3.035 1.309
```

Output
magnetic moment: 0.001 μB per cell


Least stable structure: model w


Model w:
# PaGaAsO

Crystalline PaGaAsO at its relaxed geometry (PBE, OQMD).

Cell and atoms, written as POSCAR:
```
PaGaAsO
1.0
4.180 0.000 0.000
0.000 4.180 0.000
0.000 0.000 10.035
Pa Ga As O
2 2 2 2
Cartesian
1.045 3.135 0.000
3.135 1.045 0.000
1.045 1.045 4.478
3.135 3.135 5.558
1.045 1.045 2.031
3.135 3.135 8.005
1.045 3.135 5.018
3.135 1.045 5.018
```

Output
magnetic moment: 0.500 μB per cell


Model x:
# PaGaAsO

Crystalline PaGaAsO at its relaxed geometry (PBE, OQMD).

Cell and atoms, written as POSCAR:
```
PaGaAsO
1.0
4.216 0.000 0.000
0.000 5.787 0.000
0.000 0.000 6.712
Pa Ga As O
2 2 2 2
Cartesian
0.000 1.434 0.000
0.000 4.354 3.356
2.108 2.031 2.852
2.108 3.756 6.208
2.108 0.185 4.881
2.108 5.603 1.525
0.000 2.618 1.892
0.000 3.169 5.249
```

Output
magnetic moment: 1.988 μB per cell


Model y:
# PaGaAsO

Crystalline PaGaAsO at its relaxed geometry (PBE, OQMD).

Cell and atoms, written as POSCAR:
```
PaGaAsO
1.0
3.885 0.000 0.000
0.000 3.885 0.000
0.000 0.000 10.358
Pa Ga As O
2 2 2 2
Cartesian
0.971 0.971 1.384
2.913 2.913 8.974
0.971 2.913 5.179
2.913 0.971 5.179
0.971 0.971 7.534
2.913 2.913 2.824
0.971 2.913 0.000
2.913 0.971 0.000
```

Output
magnetic moment: 1.814 μB per cell


Least stable structure: model w


Model w:
# PrGaAsO

Crystalline PrGaAsO at its relaxed geometry (PBE, OQMD).

Cell and atoms, written as POSCAR:
```
PrGaAsO
1.0
4.361 0.000 0.000
0.000 4.361 0.000
0.000 0.000 8.223
Pr Ga As O
2 2 2 2
Cartesian
1.090 1.090 1.036
3.271 3.271 7.187
1.090 3.271 4.111
3.271 1.090 4.111
1.090 1.090 5.500
3.271 3.271 2.723
1.090 3.271 0.000
3.271 1.090 0.000
```

Output
magnetic moment: 0.001 μB per cell


Model x:
# PrGaAsO

Crystalline PrGaAsO at its relaxed geometry (PBE, OQMD).

Cell and atoms, written as POSCAR:
```
PrGaAsO
1.0
4.309 0.000 0.000
0.000 4.309 0.000
0.000 0.000 9.863
Pr Ga As O
2 2 2 2
Cartesian
1.077 3.232 0.000
3.232 1.077 0.000
1.077 1.077 4.446
3.232 3.232 5.418
1.077 1.077 2.001
3.232 3.232 7.862
1.077 3.232 4.932
3.232 1.077 4.932
```

Output
magnetic moment: 0.016 μB per cell


Least stable structure: model x


Model w:
# PrGaAsO

Crystalline PrGaAsO at its relaxed geometry (PBE, OQMD).

Cell and atoms, written as POSCAR:
```
PrGaAsO
1.0
4.766 0.000 0.000
0.000 6.181 0.000
0.000 0.000 6.008
Pr Ga As O
2 2 2 2
Cartesian
0.000 1.523 0.000
0.000 4.658 3.004
2.383 0.952 3.553
2.383 5.229 0.549
0.000 1.619 3.017
0.000 4.562 0.013
2.383 0.938 5.744
2.383 5.243 2.740
```

Output
magnetic moment: 0.004 μB per cell


Model x:
# PrGaAsO

Crystalline PrGaAsO at its relaxed geometry (PBE, OQMD).

Cell and atoms, written as POSCAR:
```
PrGaAsO
1.0
4.608 0.000 0.000
0.000 4.612 0.000
0.000 0.000 6.952
Pr Ga As O
2 2 2 2
Cartesian
0.000 0.955 0.000
0.000 3.657 3.476
2.304 1.421 2.333
2.304 3.192 5.809
2.304 0.887 4.781
2.304 3.725 1.305
0.000 1.403 2.386
0.000 3.209 5.862
```

Output
magnetic moment: 0.007 μB per cell


Least stable structure: model w


Model w:
# SmGaAsO

Crystalline SmGaAsO at its relaxed geometry (PBE, OQMD).

Cell and atoms, written as POSCAR:
```
SmGaAsO
1.0
4.737 0.000 0.000
0.000 6.047 0.000
0.000 0.000 5.894
Sm Ga As O
2 2 2 2
Cartesian
0.000 1.477 0.000
0.000 4.570 2.947
2.368 0.947 3.517
2.368 5.100 0.570
0.000 1.589 2.953
0.000 4.457 0.006
2.368 0.969 5.667
2.368 5.078 2.720
```

Output
magnetic moment: 0.003 μB per cell


Model x:
# SmGaAsO

Crystalline SmGaAsO at its relaxed geometry (PBE, OQMD).

Cell and atoms, written as POSCAR:
```
SmGaAsO
1.0
4.377 0.000 0.000
0.000 4.699 0.000
0.000 0.000 6.752
Sm Ga As O
2 2 2 2
Cartesian
0.000 0.974 0.000
0.000 3.725 3.376
2.189 1.493 2.296
2.189 3.206 5.672
2.189 0.856 4.686
2.189 3.843 1.310
0.000 1.429 2.348
0.000 3.270 5.724
```

Output
magnetic moment: 0.013 μB per cell


Model y:
# SmGaAsO

Crystalline SmGaAsO at its relaxed geometry (PBE, OQMD).

Cell and atoms, written as POSCAR:
```
SmGaAsO
1.0
4.326 0.000 0.000
0.000 4.326 0.000
0.000 0.000 9.639
Sm Ga As O
2 2 2 2
Cartesian
1.081 3.244 0.000
3.244 1.081 0.000
1.081 1.081 4.345
3.244 3.244 5.293
1.081 1.081 1.883
3.244 3.244 7.755
1.081 3.244 4.819
3.244 1.081 4.819
```

Output
magnetic moment: 0.022 μB per cell


Model z:
# SmGaAsO

Crystalline SmGaAsO at its relaxed geometry (PBE, OQMD).

Cell and atoms, written as POSCAR:
```
SmGaAsO
1.0
4.156 0.000 0.000
0.000 4.156 0.000
0.000 0.000 8.997
Sm Ga As O
2 2 2 2
Cartesian
1.039 1.039 1.067
3.117 3.117 7.930
1.039 3.117 4.498
3.117 1.039 4.498
1.039 1.039 6.113
3.117 3.117 2.884
1.039 3.117 0.000
3.117 1.039 0.000
```

Output
magnetic moment: 0.018 μB per cell


Least stable structure: model y